No. 1
A relaxed LaIn6Te8 crystal, computed with PBE-GGA.

Results
Formation energy from raw total energies = -0.41 eV/atom

a = 8.098 Å, b = 8.098 Å, c = 8.098 Å
α = 92.53°, β = 92.53°, γ = 92.53°
Element x y z (fractional)
1 La 0.000 0.000 0.000
2 In 0.111 0.383 0.583
3 In 0.383 0.583 0.111
4 In 0.417 0.889 0.617
5 In 0.583 0.111 0.383
6 In 0.617 0.417 0.889
7 In 0.889 0.617 0.417
8 Te 0.183 0.808 0.308
9 Te 0.192 0.692 0.817
10 Te 0.269 0.269 0.269
11 Te 0.308 0.183 0.808
12 Te 0.692 0.817 0.192
13 Te 0.731 0.731 0.731
14 Te 0.808 0.308 0.183
15 Te 0.817 0.192 0.692

=====

No. 2
A relaxed La3InTe2 crystal, computed with PBE-GGA.

Results
Formation energy from raw total energies = -1.21 eV/atom

a = 8.119 Å, b = 8.119 Å, c = 8.119 Å
α = 147.88°, β = 132.73°, γ = 58.30°
Element x y z (fractional)
1 La 0.000 0.000 0.000
2 La 0.332 0.332 0.000
3 La 0.668 0.668 0.000
4 In 0.500 0.000 0.500
5 Te 0.167 0.667 0.500
6 Te 0.833 0.333 0.500

=====

Copy entry 2 word for word.
A relaxed La3InTe2 crystal, computed with PBE-GGA.

Results
Formation energy from raw total energies = -1.21 eV/atom

a = 8.119 Å, b = 8.119 Å, c = 8.119 Å
α = 147.88°, β = 132.73°, γ = 58.30°
Element x y z (fractional)
1 La 0.000 0.000 0.000
2 La 0.332 0.332 0.000
3 La 0.668 0.668 0.000
4 In 0.500 0.000 0.500
5 Te 0.167 0.667 0.500
6 Te 0.833 0.333 0.500

=====

formation energy from raw total energies of number 1 (LaIn6Te8)? -0.41 eV/atom

=====

The highest formation energy from raw total energies belongs to which entry? LaIn6Te8

=====

Repeat the second record exactly.
A relaxed La3InTe2 crystal, computed with PBE-GGA.

Results
Formation energy from raw total energies = -1.21 eV/atom

a = 8.119 Å, b = 8.119 Å, c = 8.119 Å
α = 147.88°, β = 132.73°, γ = 58.30°
Element x y z (fractional)
1 La 0.000 0.000 0.000
2 La 0.332 0.332 0.000
3 La 0.668 0.668 0.000
4 In 0.500 0.000 0.500
5 Te 0.167 0.667 0.500
6 Te 0.833 0.333 0.500